Material: Ti3CdSi
Method: DFT, GGA-PBE
State: relaxed

a b c (Å): 4.888 4.888 4.888
angles (deg): 90.00 90.00 90.00
Site moments in Bohr magnetons follow the coordinates.
Fractional coordinates of all 5 atoms:
Si1 0.500 0.500 0.500  -0.05
Ti1 0.000 0.500 0.000  0.51
Ti2 0.000 0.000 0.500  0.54
Ti3 0.500 0.000 0.000  0.62
Cd1 0.000 0.000 0.000  0.00

Output
Energy in eV/cell: -23.75
Symmetry: No. 221
Formation energy without anion corrections in eV/atom: 1.254
V in Å³ per cell: 116.8
Total moment in μB/atom: 0.394

***

Material: Ti2CdSi2
Method: DFT, GGA-PBE
State: relaxed

a b c (Å): 6.776 6.776 3.505
angles (deg): 90.00 90.00 90.00
Fractional coordinates of all 10 atoms:
Si1 0.377 0.877 0.000
Si2 0.877 0.623 0.000
Si3 0.623 0.123 0.000
Si4 0.123 0.377 0.000
Ti1 0.171 0.671 0.500
Ti2 0.671 0.829 0.500
Ti3 0.829 0.329 0.500
Ti4 0.329 0.171 0.500
Cd1 0.000 0.000 0.000
Cd2 0.500 0.500 0.000

Output
Energy in eV/cell: -58.83
Symmetry: No. 127
Formation energy without anion corrections in eV/atom: -0.373
V in Å³ per cell: 161.0
Total moment in μB/atom: 0.000

***

Material: TiCdSi3
Method: DFT, GGA-PBE
State: relaxed

a b c (Å): 4.905 4.905 4.905
angles (deg): 90.00 90.00 90.00
Fractional coordinates of all 5 atoms:
Si1 0.000 0.500 0.000
Si2 0.000 0.000 0.500
Si3 0.500 0.000 0.000
Ti1 0.500 0.500 0.500
Cd1 0.000 0.000 0.000

Output
Energy in eV/cell: -17.80
Symmetry: No. 221
Formation energy without anion corrections in eV/atom: 1.455
V in Å³ per cell: 118.0
Total moment in μB/atom: 0.000

***

Material: Ti3CdSi
Method: DFT, GGA-PBE
State: relaxed

a b c (Å): 4.651 4.651 4.651
angles (deg): 90.00 90.00 90.00
Fractional coordinates of all 5 atoms:
Si1 0.000 0.000 0.000
Ti1 0.000 0.500 0.000
Ti2 0.000 0.000 0.500
Ti3 0.500 0.000 0.000
Cd1 0.500 0.500 0.500

Output
Energy in eV/cell: -29.26
Symmetry: No. 221
Formation energy without anion corrections in eV/atom: 0.152
V in Å³ per cell: 100.6
Total moment in μB/atom: 0.000

***

Material: TiV2CdSi
Method: DFT, GGA-PBE
State: relaxed

a b c (Å): 4.839 4.901 4.839
angles (deg): 90.00 90.00 90.00
Site moments in Bohr magnetons follow the coordinates.
Fractional coordinates of all 5 atoms:
Si1 0.500 0.500 0.500  -0.09
V1 0.000 0.000 0.500  2.16
V2 0.500 0.000 0.000  2.13
Ti1 0.000 0.500 0.000  -0.77
Cd1 0.000 0.000 0.000  0.00

Output
Energy in eV/cell: -24.28
Symmetry: No. 123
Formation energy without anion corrections in eV/atom: 1.639
V in Å³ per cell: 114.8
Total moment in μB/atom: 0.764

***

Material: TlCdSi2
Method: DFT, GGA-PBE
State: relaxed

a b c (Å): 10.853 10.853 10.853
angles (deg): 16.24 16.24 16.24
Fractional coordinates of all 4 atoms:
Cd1 0.750 0.750 0.750
Si1 0.006 0.006 0.006
Si2 0.494 0.494 0.494
Tl1 0.250 0.250 0.250

Output
Energy in eV/cell: -11.81
Symmetry: No. 166
Formation energy without anion corrections in eV/atom: 0.580
V in Å³ per cell: 87.2
Total moment in μB/atom: 0.000

***

Among the records above, which one has the lowest energy?
Ti2CdSi2